<one>
The following is a PBE calculation of an optimized crystal structure of Ga2SnP, from Alexandria.

## Properties
- total magnetization (Bohr magnetons per cell) = 0.00

Geometry as POSCAR:
```
Ga2SnP
1.0
-3.8134 -1.4557 -2.6086
-3.6466 3.0655 -0.8776
-0.6816 1.7366 -4.4704
P Sn Ga
1 1 2
direct
0.0000 0.0000 0.0000
0.5000 0.5000 0.5000
0.7500 0.7500 0.7500
0.2500 0.2500 0.2500
```

=====

<two>
The following is a PBE calculation of an optimized crystal structure of Ga2SnP, from Alexandria.

## Properties
- total magnetization (Bohr magnetons per cell) = 0.00

Geometry as POSCAR:
```
Ga2SnP
1.0
-3.2704 -2.3021 -0.9398
0.0854 -4.0549 0.6553
-3.7905 -1.0608 6.8089
Sn Ga P
1 2 1
direct
0.5000 0.5000 0.5000
0.9003 0.9003 0.2990
0.0997 0.0997 0.7010
0.0000 0.0000 0.0000
```

=====

Relative energies, unit kJ/mol of atoms: <one> 0.0; <two> 19.2